(1)
Here is an optimized crystal structure of PaMoOs2 from Alexandria. Energies are from GGA-PBE.

Values from the calculation:
N(E_F) (states/eV/atom): 1.17
Offset from the most stable computed form (meV per atom): 227
Space-group type: No. 166

Lattice parameters (Å, degrees): 5.550 5.550 5.550 44.78 44.78 44.78
Element x y z (fractional)
Pa 0.000 0.000 0.000
Mo 0.500 0.500 0.500
Os 0.221 0.221 0.221
Os 0.779 0.779 0.779



(2)
Here is an optimized crystal structure of PaMoOs2 from Alexandria. Energies are from GGA-PBE.

Values from the calculation:
N(E_F) (states/eV/atom): 0.51
Offset from the most stable computed form (meV per atom): 0
Space-group type: No. 123

Lattice parameters (Å, degrees): 3.047 3.047 7.493 90.00 90.00 90.00
Element x y z (fractional)
Pa 0.000 0.000 0.000
Mo 0.000 0.000 0.500
Os 0.500 0.500 0.288
Os 0.500 0.500 0.712



(3)
Here is an optimized crystal structure of PaSbMoOs from Alexandria. Energies are from GGA-PBE.

Values from the calculation:
N(E_F) (states/eV/atom): 0.52
Space-group type: No. 216
Calculated total energy (eV per atom): -8.86

Lattice parameters (Å, degrees): 4.784 4.784 4.784 60.00 60.00 60.00
Element x y z (fractional)
Pa 0.000 0.000 0.000
Sb 0.500 0.500 0.500
Mo 0.250 0.250 0.250
Os 0.750 0.750 0.750



(4)
Here is an optimized crystal structure of ScPaMoOs from Alexandria. Energies are from GGA-PBE.

Values from the calculation:
N(E_F) (states/eV/atom): 0.83
Space-group type: No. 216
Calculated total energy (eV per atom): -9.68

Lattice parameters (Å, degrees): 4.746 4.746 4.746 60.00 60.00 60.00
Element x y z (fractional)
Sc 0.000 0.000 0.000
Pa 0.500 0.500 0.500
Mo 0.750 0.750 0.750
Os 0.250 0.250 0.250



(5)
Here is an optimized crystal structure of UPaMoOs from Alexandria. Energies are from GGA-PBE.

Values from the calculation:
N(E_F) (states/eV/atom): 2.05
Space-group type: No. 216
Calculated total energy (eV per atom): -10.62

Lattice parameters (Å, degrees): 4.844 4.844 4.844 60.00 60.00 60.00
Element x y z (fractional)
U 0.000 0.000 0.000
Pa 0.500 0.500 0.500
Mo 0.250 0.250 0.250
Os 0.750 0.750 0.750



(6)
Here is an optimized crystal structure of PaZnMoOs from Alexandria. Energies are from GGA-PBE.

Values from the calculation:
N(E_F) (states/eV/atom): 1.32
Space-group type: No. 216
Calculated total energy (eV per atom): -8.12

Lattice parameters (Å, degrees): 4.623 4.623 4.623 60.00 60.00 60.00
Element x y z (fractional)
Pa 0.000 0.000 0.000
Zn 0.500 0.500 0.500
Mo 0.750 0.750 0.750
Os 0.250 0.250 0.250



(7)
Here is an optimized crystal structure of MoOs2Pb from Alexandria. Energies are from GGA-PBE.

Values from the calculation:
N(E_F) (states/eV/atom): 0.64
Space-group type: No. 6
Calculated total energy (eV per atom): -8.59

Lattice parameters (Å, degrees): 2.868 3.946 6.513 90.00 101.78 90.00
Element x y z (fractional)
Mo 0.000 0.000 0.000
Os 0.178 0.000 0.388
Os 0.604 0.500 0.225
Pb 0.383 0.500 0.723



(8)
Here is an optimized crystal structure of MoOs2Pb from Alexandria. Energies are from GGA-PBE.

Values from the calculation:
N(E_F) (states/eV/atom): 1.14
Space-group type: No. 47
Calculated total energy (eV per atom): -8.32

Lattice parameters (Å, degrees): 3.005 4.726 4.755 90.00 90.00 90.00
Element x y z (fractional)
Mo 0.000 0.000 0.000
Os 0.000 0.500 0.500
Os 0.500 0.000 0.500
Pb 0.500 0.500 0.000